Ba3Au: relaxed, PBE.

abc: 6.0623 6.0623 6.0623
angles: 60.00 60.00 60.00
Sites, in units of the cell vectors:
Au (0.0000, 0.0000, 0.0000)
Ba (0.2500, 0.2500, 0.2500)
Ba (0.5000, 0.5000, 0.5000)
Ba (0.7500, 0.7500, 0.7500)

Calculated values
Formation enthalpy at 0 K ... -42 meV per atom
V ... 39.4 Å³ per atom